## LiFe2F9 (GGA-PBEsol)

Data for LiFe2F9 after structural relaxation.

The calculation puts the formation energy (no corrections) at -2.0956 eV per atom. As for the crystal system: triclinic. As for the total moment: 8.010 μB/f.u. As for the volume: 13.86 Å³ per atom.

Geometry as CIF:
```
data_LiFe2F9
_cell_length_a 5.7076
_cell_length_b 7.3090
_cell_length_c 8.9190
_cell_angle_alpha 72.97
_cell_angle_beta 80.40
_cell_angle_gamma 69.60
_symmetry_space_group_name_H-M 'P -1'
_symmetry_Int_Tables_number 2
loop_
_symmetry_equiv_pos_as_xyz
'x,y,z'
'-x,-y,-z'
loop_
_atom_site_label
_atom_site_type_symbol
_atom_site_fract_x
_atom_site_fract_y
_atom_site_fract_z
Li1 Li 0.2201 0.2217 0.1218
Fe1 Fe 0.3421 0.2059 0.7140
Fe2 Fe 0.3491 0.7061 0.6951
F1 F 0.0524 0.3746 0.6702
F2 F 0.1226 0.7683 0.5676
F3 F 0.1328 0.6562 0.8574
F4 F 0.2344 0.9994 0.7049
F5 F 0.2770 0.1716 0.9276
F6 F 0.3509 0.9646 0.2653
F7 F 0.4196 0.3514 0.1737
F8 F 0.4295 0.2440 0.4670
F9 F 0.4707 0.4141 0.6878
```